DFT (PBE with a Hubbard U) results for crystalline NdWO2 at its relaxed geometry.

Cell and atoms, written as extended XYZ:
```
16
Lattice="-3.194 3.194 6.158 3.194 -3.194 6.158 3.194 3.194 -6.158" Properties=species:S:1:pos:R:3 pbc="T T T"
Nd 0.000 0.000 0.000
Nd 1.597 1.597 -3.079
Nd 1.597 -1.597 3.079
Nd 0.000 3.194 0.000
W 3.194 0.000 0.000
W -1.597 1.597 3.079
W 0.000 0.000 6.158
W 1.597 1.597 3.079
O 1.809 1.597 -0.647
O 4.579 1.597 -0.647
O 0.000 0.212 2.433
O 3.194 0.212 3.726
O 0.000 2.982 2.433
O 3.194 2.982 3.726
O -1.385 1.597 6.805
O 1.385 1.597 6.805
```

Values from the calculation:
calculated density = 9.5 Mg/m³
DOS(E_F) = 5.302 states/eV/cell
space-group type = I4_1/amd
E_tot = -0.523 Ry per atom